# Dy3Er4Bi4, optimized geometry, DFT PBE
# uncorrected energy = -4.834 eV/atom
# symmetry = Immm
# DFT formation energy = -508 meV per atom
# D(E_F) = 13.2 states/eV/f.u.
# size of the total moment = 1.8 μB per cell
data_Dy3Er4Bi4
_chemical_formula_sum 'Dy3 Er4 Bi4'
_symmetry_space_group_name_H-M 'P 1'
_symmetry_Int_Tables_number 1
_symmetry_space_group_name_Hall 'P 1'
_cell_length_a 4.099
_cell_length_b 9.293
_cell_length_c 10.109
_cell_angle_alpha 117.36
_cell_angle_beta 101.70
_cell_angle_gamma 90.00
loop_
_atom_site_label
_atom_site_type_symbol
_atom_site_fract_x
_atom_site_fract_y
_atom_site_fract_z
Er1 Er 0.667 0.853 0.333
Er2 Er 0.667 0.481 0.333
Er3 Er 0.333 0.147 0.667
Er4 Er 0.333 0.519 0.667
Bi1 Bi 0.500 0.204 0.000
Bi2 Bi 0.500 0.796 0.000
Bi3 Bi 0.740 0.240 0.479
Bi4 Bi 0.260 0.760 0.521
Dy1 Dy 0.103 0.103 0.207
Dy2 Dy 0.897 0.897 0.793
Dy3 Dy 0.000 0.500 0.000